A relaxed structure of Tm2Sc4Ge3O2. Source: Alexandria via LeMat-Bulk, functional PBE-GGA.

Values from the calculation:
Formation energy (no corrections) (eV/f.u.): -18.1
N(E_F) (states/eV per atom): 0.6824

Cell lengths 4.263, 4.263, 22.767 Å; angles 90.00, 90.00, 90.00 degrees
Space group I4/mmm (No. 139)
Symmetry-distinct sites (fractional):
Tm 0.000 0.000 0.195 x4
Sc 0.000 0.500 0.080 x8
Ge 0.000 0.000 0.326 x4
Ge 0.000 0.000 0.500 x2
O 0.000 0.000 0.093 x4